This record from the Alexandria database describes crystalline Mg2Ga5Ag3 at its relaxed geometry. The functional is PBE-GGA.

Values from the calculation:
size of the total moment: 0.00 μB/f.u.
energy above the most stable polymorph in this dataset: 39.3 meV/atom
calculated total energy: -108.941 eV for the cell shown
energy relative to the elements: -0.036 eV/atom

a = 11.079 Å, b = 12.559 Å, c = 5.565 Å
α = 90.00°, β = 90.00°, γ = 90.00°
Space group Ibam (No. 72)
One atom of each set of equivalent atoms:
Mg 0.123 0.230 0.000 x8
Ga 0.000 0.500 0.250 x4
Ga 0.136 0.144 0.500 x8
Ga 0.246 0.500 0.250 x8
Ag 0.000 0.000 0.250 x4
Ag 0.116 0.346 0.500 x8


This record from the Alexandria database describes crystalline MgGa3Ag2 at its relaxed geometry. The functional is PBE-GGA.

Values from the calculation:
size of the total moment: 0.00 μB/f.u.
energy above the most stable polymorph in this dataset: 2.9 meV/atom
calculated total energy: -33.302 eV for the cell shown
energy relative to the elements: -0.046 eV/atom

a = 4.668 Å, b = 9.336 Å, c = 5.054 Å
α = 90.00°, β = 90.00°, γ = 90.00°
Space group Pmc2_1 (No. 26)
One atom of each set of equivalent atoms:
Mg 0.000 0.094 0.000 x2
Ga 0.000 0.424 0.991 x2
Ga 0.500 0.093 0.645 x2
Ga 0.500 0.271 0.168 x2
Ag 0.000 0.236 0.493 x2
Ag 0.500 0.415 0.664 x2


This record from the Alexandria database describes crystalline Mg2Ga3Ag8 at its relaxed geometry. The functional is PBE-GGA.

Values from the calculation:
size of the total moment: 0.00 μB/f.u.
energy above the most stable polymorph in this dataset: 0.0 meV/atom
calculated total energy: -35.542 eV for the cell shown
energy relative to the elements: -0.036 eV/atom

a = 6.620 Å, b = 4.028 Å, c = 9.185 Å
α = 90.00°, β = 97.81°, γ = 90.00°
Space group P2/m (No. 10)
One atom of each set of equivalent atoms:
Mg 0.244 0.000 0.066 x2
Ga 0.203 0.500 0.580 x2
Ga 0.500 0.000 0.500 x1
Ag 0.057 0.500 0.858 x2
Ag 0.092 0.000 0.363 x2
Ag 0.342 0.000 0.780 x2
Ag 0.376 0.500 0.287 x2